The following is a PBE+U calculation of a geometry-optimized MnN2O2 structure, from Alexandria via LeMat-Bulk.

Properties
**Relative energy among the computed polymorphs**: 0 meV/atom
**VASP energy**: -7.5348 eV/atom
**M_tot**: 3.00 μB per formula unit
**Symmetry**: C2/m (12)

Cell: 2.9903 2.9912 9.3327 Å, 91.33 90.00 119.99°
Site moments in Bohr magnetons follow the coordinates.
Positions (direct):
Mn 0.0000 0.0000 0.0000  3.37
N 0.9979 0.9958 0.4404  0.00
N 0.0021 0.0042 0.5596  0.00
O 0.6715 0.3430 0.1001  -0.19
O 0.3285 0.6570 0.8999  -0.19